Record 1
BaCeTe3: optimized geometry, GGA-PBE.

Lattice parameters (Å, degrees): 8.593 4.801 18.006 90.00 90.00 90.00
Space group Pnma (No. 62)
Symmetry-distinct sites (fractional):
Ba (0.126, 0.250, 0.199) x4
Ce (0.228, 0.750, 0.457) x4
Te (0.008, 0.250, 0.405) x4
Te (0.129, 0.750, 0.048) x4
Te (0.169, 0.250, 0.794) x4

Values from the calculation:
Offset from the most stable computed form ... 0.000 eV/f.u.
Magnetic moment ... 0.12 μB per formula unit
ΔE_f (raw) ... -1.410 eV/atom


Record 2
Ba4CeTe6: optimized geometry, GGA-PBE.

Lattice parameters (Å, degrees): 13.5680 13.5680 16.8823 90.00 90.00 120.00
Space group R-3c (No. 167, hexagonal axes)
Symmetry-distinct sites (fractional):
Ba (0.0000, 0.0000, 0.2500) x6
Ba (0.0000, 0.3800, 0.2500) x18
Ce (0.0000, 0.0000, 0.0000) x6
Te (0.0301, 0.1986, 0.3934) x36

Values from the calculation:
Magnetic moment ... 0.00 μB per formula unit
ΔE_f (raw) ... -1.621 eV/atom


Record 3
BaCe4Te6: optimized geometry, GGA-PBE.

Lattice parameters (Å, degrees): 4.571 14.799 23.319 90.00 90.00 90.00
Space group Cmcm (No. 63)
Symmetry-distinct sites (fractional):
Ba (0.000, 0.163, 0.250) x4
Ce (0.000, 0.092, 0.625) x8
Ce (0.000, 0.361, 0.538) x8
Te (0.000, 0.000, 0.000) x4
Te (0.000, 0.162, 0.750) x4
Te (0.000, 0.268, 0.088) x8
Te (0.000, 0.455, 0.660) x8

Values from the calculation:
Magnetic moment ... 4.80 μB per formula unit
ΔE_f (raw) ... -1.430 eV/atom